This record from Alexandria via LeMat-Bulk describes Sr2CaHf after structural relaxation. The functional is PBE. Values from VASP.

Values from the calculation:
- electronic total energy (eV/atom) = -3.13
- excess energy over the best structure of this formula in the dataset (eV per atom) = 0.1112
- spin magnetization (μB per formula unit) = 0.480
- energy of formation from the pure elements (eV/atom) = 0.704

```
&SYSTEM
  ibrav = 0, nat = 12, ntyp = 3
/
ATOMIC_SPECIES
Sr 87.62 Sr.upf
Ca 40.08 Ca.upf
Hf 178.49 Hf.upf
CELL_PARAMETERS angstrom
3.624 0.000 0.000
-1.812 3.139 0.000
0.000 0.000 40.134
ATOMIC_POSITIONS crystal
Sr 0.000 0.000 0.082
Sr 0.000 0.000 0.918
Sr 0.333 0.667 0.584
Sr 0.333 0.667 0.749
Sr 0.667 0.333 0.251
Sr 0.667 0.333 0.416
Ca 0.000 0.000 0.500
Ca 0.333 0.667 0.167
Ca 0.667 0.333 0.833
Hf 0.000 0.000 0.000
Hf 0.333 0.667 0.667
Hf 0.667 0.333 0.333
```


This record from Alexandria via LeMat-Bulk describes Sr2CaHf after structural relaxation. The functional is PBE. Values from VASP.

Values from the calculation:
- electronic total energy (eV/atom) = -3.24
- excess energy over the best structure of this formula in the dataset (eV per atom) = 0.0000
- spin magnetization (μB per formula unit) = 0.003
- energy of formation from the pure elements (eV/atom) = 0.593

```
&SYSTEM
  ibrav = 0, nat = 16, ntyp = 3
/
ATOMIC_SPECIES
Sr 87.62 Sr.upf
Ca 40.08 Ca.upf
Hf 178.49 Hf.upf
CELL_PARAMETERS angstrom
8.463 0.000 0.000
0.000 8.463 0.000
0.000 0.000 8.463
ATOMIC_POSITIONS crystal
Sr 0.250 0.250 0.250
Sr 0.250 0.250 0.750
Sr 0.250 0.750 0.250
Sr 0.250 0.750 0.750
Sr 0.750 0.250 0.250
Sr 0.750 0.250 0.750
Sr 0.750 0.750 0.250
Sr 0.750 0.750 0.750
Ca 0.000 0.000 0.000
Ca 0.000 0.500 0.500
Ca 0.500 0.000 0.500
Ca 0.500 0.500 0.000
Hf 0.000 0.000 0.500
Hf 0.000 0.500 0.000
Hf 0.500 0.000 0.000
Hf 0.500 0.500 0.500
```


This record from Alexandria via LeMat-Bulk describes SrCa3Hf after structural relaxation. The functional is PBE. Values from VASP.

Values from the calculation:
- electronic total energy (eV/atom) = -2.12
- excess energy over the best structure of this formula in the dataset (eV per atom) = 0.7054
- spin magnetization (μB per formula unit) = 0.000
- energy of formation from the pure elements (eV/atom) = 1.405

```
&SYSTEM
  ibrav = 0, nat = 5, ntyp = 3
/
ATOMIC_SPECIES
Sr 87.62 Sr.upf
Ca 40.08 Ca.upf
Hf 178.49 Hf.upf
CELL_PARAMETERS angstrom
5.671 0.000 0.000
0.000 5.671 0.000
0.000 0.000 5.671
ATOMIC_POSITIONS crystal
Sr 0.000 0.000 0.000
Ca 0.000 0.000 0.500
Ca 0.000 0.500 0.000
Ca 0.500 0.000 0.000
Hf 0.500 0.500 0.500
```


This record from Alexandria via LeMat-Bulk describes SrCaHf after structural relaxation. The functional is PBE. Values from VASP.

Values from the calculation:
- electronic total energy (eV/atom) = -4.13
- excess energy over the best structure of this formula in the dataset (eV per atom) = 0.0000
- spin magnetization (μB per formula unit) = 0.083
- energy of formation from the pure elements (eV/atom) = 0.411

```
&SYSTEM
  ibrav = 0, nat = 6, ntyp = 3
/
ATOMIC_SPECIES
Sr 87.62 Sr.upf
Ca 40.08 Ca.upf
Hf 178.49 Hf.upf
CELL_PARAMETERS angstrom
3.506 0.000 0.000
0.011 6.358 0.000
0.006 2.031 9.685
ATOMIC_POSITIONS crystal
Sr 0.000 0.000 0.000
Sr 0.002 0.572 0.754
Ca 0.502 0.125 0.599
Ca 0.505 0.689 0.364
Hf 0.003 0.227 0.298
Hf 0.501 0.463 0.082
```


This record from Alexandria via LeMat-Bulk describes SrCa2Hf after structural relaxation. The functional is PBE. Values from VASP.

Values from the calculation:
- electronic total energy (eV/atom) = -3.27
- excess energy over the best structure of this formula in the dataset (eV per atom) = 0.1081
- spin magnetization (μB per formula unit) = 0.575
- energy of formation from the pure elements (eV/atom) = 0.639

```
&SYSTEM
  ibrav = 0, nat = 12, ntyp = 3
/
ATOMIC_SPECIES
Sr 87.62 Sr.upf
Ca 40.08 Ca.upf
Hf 178.49 Hf.upf
CELL_PARAMETERS angstrom
3.549 0.000 0.000
-1.775 3.074 0.000
0.000 0.000 39.440
ATOMIC_POSITIONS crystal
Sr 0.000 0.000 0.000
Sr 0.333 0.667 0.667
Sr 0.667 0.333 0.333
Ca 0.000 0.000 0.419
Ca 0.000 0.000 0.581
Ca 0.333 0.667 0.086
Ca 0.333 0.667 0.247
Ca 0.667 0.333 0.753
Ca 0.667 0.333 0.914
Hf 0.000 0.000 0.500
Hf 0.333 0.667 0.167
Hf 0.667 0.333 0.833
```


This record from Alexandria via LeMat-Bulk describes SrCaHf2Tc after structural relaxation. The functional is PBE. Values from VASP.

Values from the calculation:
- electronic total energy (eV/atom) = -6.47
- spin magnetization (μB per formula unit) = 0.000
- energy of formation from the pure elements (eV/atom) = 0.322

```
&SYSTEM
  ibrav = 0, nat = 5, ntyp = 4
/
ATOMIC_SPECIES
Sr 87.62 Sr.upf
Ca 40.08 Ca.upf
Hf 178.49 Hf.upf
Tc 98.00 Tc.upf
CELL_PARAMETERS angstrom
5.078 0.000 0.000
0.000 5.078 0.000
0.000 0.000 5.777
ATOMIC_POSITIONS crystal
Sr 0.000 0.000 0.000
Ca 0.500 0.500 0.000
Hf 0.000 0.500 0.500
Hf 0.500 0.000 0.500
Tc 0.500 0.500 0.500
```


This record from Alexandria via LeMat-Bulk describes SrCa2YHf after structural relaxation. The functional is PBE. Values from VASP.

Values from the calculation:
- electronic total energy (eV/atom) = -3.27
- spin magnetization (μB per formula unit) = 0.000
- energy of formation from the pure elements (eV/atom) = 1.150

```
&SYSTEM
  ibrav = 0, nat = 5, ntyp = 4
/
ATOMIC_SPECIES
Sr 87.62 Sr.upf
Ca 40.08 Ca.upf
Y 88.91 Y.upf
Hf 178.49 Hf.upf
CELL_PARAMETERS angstrom
5.656 0.000 0.000
0.000 5.656 0.000
0.000 0.000 5.492
ATOMIC_POSITIONS crystal
Sr 0.000 0.000 0.000
Ca 0.000 0.500 0.000
Ca 0.500 0.000 0.000
Y 0.500 0.500 0.500
Hf 0.000 0.000 0.500
```


This record from Alexandria via LeMat-Bulk describes CaHfTa3 after structural relaxation. The functional is PBE. Values from VASP.

Values from the calculation:
- electronic total energy (eV/atom) = -7.95
- excess energy over the best structure of this formula in the dataset (eV per atom) = 0.0000
- spin magnetization (μB per formula unit) = 0.000
- energy of formation from the pure elements (eV/atom) = 1.556

```
&SYSTEM
  ibrav = 0, nat = 5, ntyp = 3
/
ATOMIC_SPECIES
Ca 40.08 Ca.upf
Hf 178.49 Hf.upf
Ta 180.95 Ta.upf
CELL_PARAMETERS angstrom
5.035 0.000 0.000
0.000 5.035 0.000
0.000 0.000 5.035
ATOMIC_POSITIONS crystal
Ca 0.000 0.000 0.000
Hf 0.500 0.500 0.500
Ta 0.000 0.500 0.500
Ta 0.500 0.000 0.500
Ta 0.500 0.500 0.000
```


This record from Alexandria via LeMat-Bulk describes CaHfTa2 after structural relaxation. The functional is PBE. Values from VASP.

Values from the calculation:
- electronic total energy (eV/atom) = -8.13
- excess energy over the best structure of this formula in the dataset (eV per atom) = 0.0000
- spin magnetization (μB per formula unit) = 0.000
- energy of formation from the pure elements (eV/atom) = 0.786

```
&SYSTEM
  ibrav = 0, nat = 16, ntyp = 3
/
ATOMIC_SPECIES
Ca 40.08 Ca.upf
Hf 178.49 Hf.upf
Ta 180.95 Ta.upf
CELL_PARAMETERS angstrom
7.013 0.000 0.000
0.000 7.013 0.000
0.000 0.000 7.013
ATOMIC_POSITIONS crystal
Ca 0.000 0.000 0.000
Ca 0.000 0.500 0.500
Ca 0.500 0.000 0.500
Ca 0.500 0.500 0.000
Hf 0.000 0.000 0.500
Hf 0.000 0.500 0.000
Hf 0.500 0.000 0.000
Hf 0.500 0.500 0.500
Ta 0.250 0.250 0.250
Ta 0.250 0.250 0.750
Ta 0.250 0.750 0.250
Ta 0.250 0.750 0.750
Ta 0.750 0.250 0.250
Ta 0.750 0.250 0.750
Ta 0.750 0.750 0.250
Ta 0.750 0.750 0.750
```


This record from Alexandria via LeMat-Bulk describes CaHf3Ta after structural relaxation. The functional is PBE. Values from VASP.

Values from the calculation:
- electronic total energy (eV/atom) = -7.91
- excess energy over the best structure of this formula in the dataset (eV per atom) = 0.0000
- spin magnetization (μB per formula unit) = 0.000
- energy of formation from the pure elements (eV/atom) = 0.829

```
&SYSTEM
  ibrav = 0, nat = 5, ntyp = 3
/
ATOMIC_SPECIES
Ca 40.08 Ca.upf
Hf 178.49 Hf.upf
Ta 180.95 Ta.upf
CELL_PARAMETERS angstrom
5.211 0.000 0.000
0.000 5.211 0.000
0.000 0.000 5.211
ATOMIC_POSITIONS crystal
Ca 0.000 0.000 0.000
Hf 0.000 0.500 0.500
Hf 0.500 0.000 0.500
Hf 0.500 0.500 0.000
Ta 0.500 0.500 0.500
```


This record from Alexandria via LeMat-Bulk describes CaHfTa2 after structural relaxation. The functional is PBE. Values from VASP.

Values from the calculation:
- electronic total energy (eV/atom) = -7.91
- excess energy over the best structure of this formula in the dataset (eV per atom) = 0.2185
- spin magnetization (μB per formula unit) = 0.000
- energy of formation from the pure elements (eV/atom) = 1.004

```
&SYSTEM
  ibrav = 0, nat = 16, ntyp = 3
/
ATOMIC_SPECIES
Ca 40.08 Ca.upf
Hf 178.49 Hf.upf
Ta 180.95 Ta.upf
CELL_PARAMETERS angstrom
4.203 0.000 0.000
0.000 4.203 0.000
0.000 0.000 20.609
ATOMIC_POSITIONS crystal
Ca 0.000 0.000 0.000
Ca 0.000 0.500 0.250
Ca 0.500 0.000 0.750
Ca 0.500 0.500 0.500
Hf 0.000 0.000 0.500
Hf 0.000 0.500 0.750
Hf 0.500 0.000 0.250
Hf 0.500 0.500 0.000
Ta 0.233 0.250 0.625
Ta 0.250 0.733 0.875
Ta 0.250 0.767 0.375
Ta 0.267 0.250 0.125
Ta 0.733 0.750 0.125
Ta 0.750 0.233 0.375
Ta 0.750 0.267 0.875
Ta 0.767 0.750 0.625
```


This record from Alexandria via LeMat-Bulk describes Ca3HfTa after structural relaxation. The functional is PBE. Values from VASP.

Values from the calculation:
- electronic total energy (eV/atom) = -4.04
- excess energy over the best structure of this formula in the dataset (eV per atom) = 0.0000
- spin magnetization (μB per formula unit) = 1.754
- energy of formation from the pure elements (eV/atom) = 1.517

```
&SYSTEM
  ibrav = 0, nat = 5, ntyp = 3
/
ATOMIC_SPECIES
Ca 40.08 Ca.upf
Hf 178.49 Hf.upf
Ta 180.95 Ta.upf
CELL_PARAMETERS angstrom
5.538 0.000 0.000
0.000 5.538 0.000
0.000 0.000 5.538
ATOMIC_POSITIONS crystal
Ca 0.000 0.000 0.500
Ca 0.000 0.500 0.000
Ca 0.500 0.000 0.000
Hf 0.500 0.500 0.500
Ta 0.000 0.000 0.000
```


This record from Alexandria via LeMat-Bulk describes CaHf2TaV after structural relaxation. The functional is PBE. Values from VASP.

Values from the calculation:
- electronic total energy (eV/atom) = -7.65
- spin magnetization (μB per formula unit) = 2.267
- energy of formation from the pure elements (eV/atom) = 0.930

```
&SYSTEM
  ibrav = 0, nat = 5, ntyp = 4
/
ATOMIC_SPECIES
Ca 40.08 Ca.upf
Hf 178.49 Hf.upf
Ta 180.95 Ta.upf
V 50.94 V.upf
CELL_PARAMETERS angstrom
5.221 0.000 0.000
0.000 5.221 0.000
0.000 0.000 4.798
ATOMIC_POSITIONS crystal
Ca 0.000 0.000 0.000
Hf 0.000 0.500 0.500
Hf 0.500 0.000 0.500
Ta 0.500 0.500 0.500
V 0.500 0.500 0.000
```


This record from Alexandria via LeMat-Bulk describes CaHf2ZrTa after structural relaxation. The functional is PBE. Values from VASP.

Values from the calculation:
- electronic total energy (eV/atom) = -7.30
- spin magnetization (μB per formula unit) = 1.096
- energy of formation from the pure elements (eV/atom) = 1.163

```
&SYSTEM
  ibrav = 0, nat = 5, ntyp = 4
/
ATOMIC_SPECIES
Ca 40.08 Ca.upf
Hf 178.49 Hf.upf
Zr 91.22 Zr.upf
Ta 180.95 Ta.upf
CELL_PARAMETERS angstrom
5.253 0.000 0.000
0.000 5.253 0.000
0.000 0.000 5.036
ATOMIC_POSITIONS crystal
Ca 0.000 0.000 0.000
Hf 0.000 0.500 0.500
Hf 0.500 0.000 0.500
Zr 0.500 0.500 0.500
Ta 0.500 0.500 0.000
```